Entry from Alexandria: a relaxed Ba2MnSnO6 crystal (PBE+U).

Output
raw total energy	-261.8	eV per cell

Unit cell a=8.177 b=8.177 c=8.177 alpha=90.00 beta=90.00 gamma=90.00
Space group Fm-3m (No. 225)
One atom of each set of equivalent atoms:
1 Ba 0.250 0.250 0.250 x8
2 Mn 0.000 0.000 0.000 x4
3 Sn 0.000 0.000 0.500 x4
4 O 0.000 0.000 0.243 x24